The following is a DFT calculation (PBE) of crystalline CsAgO2 at its relaxed geometry.

Output
energy: -3.48 eV/atom
SG: No. 166
crystal system: trigonal
density: 5886 kg/m3
energy relative to the elements, uncorrected: -70 meV/atom

Unit cell a=7.330 b=7.330 c=7.330 alpha=28.05 beta=28.05 gamma=28.05
Sites, in units of the cell vectors:
Cs 0.000 0.000 0.000
O 0.125 0.125 0.125
O 0.875 0.875 0.875
Ag 0.500 0.500 0.500

The following is a DFT calculation (PBE) of crystalline Ba4LaPb at its relaxed geometry.

Output
formation enthalpy at 0 K: 1.81 eV/f.u.
energy: -2.42 eV/atom
SG: No. 216
crystal system: cubic
density: 5128 kg/m3

Unit cell a=7.429 b=7.429 c=7.429 alpha=60.00 beta=60.00 gamma=60.00
Site moments in Bohr magnetons follow the coordinates.
Sites, in units of the cell vectors:
Ba 0.877 0.374 0.374  0.10
Ba 0.374 0.877 0.374  0.10
Ba 0.374 0.374 0.877  0.10
Ba 0.374 0.374 0.374  0.10
La 0.750 0.750 0.750  0.41
Pb 0.000 0.000 0.000  -0.03

The following is a DFT calculation (PBE) of crystalline K2MgTiO4 at its relaxed geometry.

Output
energy: -6.20 eV/atom
SG: No. 70
crystal system: orthorhombic
density: 2267 kg/m3
energy relative to the elements, uncorrected: -2258 meV/atom

Unit cell a=5.221 b=6.579 c=10.298 alpha=84.23 beta=75.32 gamma=66.62
Sites, in units of the cell vectors:
O 0.148 0.328 0.408
O 0.523 0.328 0.592
O 0.306 0.828 0.092
O 0.444 0.672 0.408
O 0.865 0.828 0.908
O 0.602 0.172 0.092
O 0.885 0.672 0.592
O 0.227 0.172 0.908
K 0.928 0.500 0.145
K 0.178 0.000 0.645
K 0.822 0.000 0.355
K 0.572 0.500 0.855
Ti 0.250 0.500 0.500
Ti 0.500 0.000 0.000
Mg 0.750 0.500 0.500
Mg 0.000 0.000 0.000

The following is a DFT calculation (PBE) of crystalline KBa4Pt at its relaxed geometry.

Output
formation enthalpy at 0 K: -1.91 eV/f.u.
energy: -2.79 eV/atom
SG: No. 15
offset from the most stable computed form: 0 meV per atom
crystal system: monoclinic
density: 3816 kg/m3

Unit cell a=8.850 b=7.907 c=12.155 alpha=71.01 beta=59.90 gamma=90.00
Sites, in units of the cell vectors:
Ba 0.235 0.309 0.212
Ba 0.738 0.272 0.596
Ba 0.238 0.132 0.596
Ba 0.265 0.521 0.788
Ba 0.762 0.868 0.404
Ba 0.735 0.479 0.212
Ba 0.262 0.728 0.404
Ba 0.765 0.691 0.788
Pt 0.500 0.500 0.500
Pt 0.000 0.000 0.500
K 0.250 0.913 0.000
K 0.750 0.087 0.000

The following is a DFT calculation (PBE) of crystalline TlRhW2 at its relaxed geometry.

Output
formation enthalpy at 0 K: 2.33 eV/f.u.
energy: -8.32 eV/atom
SG: No. 119
offset from the most stable computed form: 228 meV per atom
crystal system: tetragonal
density: 16574 kg/m3

Unit cell a=4.912 b=4.912 c=4.912 alpha=130.14 beta=130.14 gamma=73.19
Sites, in units of the cell vectors:
Tl 0.750 0.250 0.500
Rh 0.500 0.500 0.000
W 0.250 0.750 0.500
W 0.000 0.000 0.000

The following is a DFT calculation (PBE) of crystalline BaLiTlCd at its relaxed geometry.

Output
formation enthalpy at 0 K: -0.91 eV/f.u.
energy: -2.01 eV/atom
SG: No. 216
offset from the most stable computed form: 47 meV per atom
crystal system: cubic
density: 6662 kg/m3

Unit cell a=5.457 b=5.457 c=5.457 alpha=60.00 beta=60.00 gamma=60.00
Sites, in units of the cell vectors:
Ba 0.500 0.500 0.500
Cd 0.750 0.750 0.750
Tl 0.000 0.000 0.000
Li 0.250 0.250 0.250

The following is a DFT calculation (PBE) of crystalline ZnBr2 at its relaxed geometry.

Output
energy: -2.34 eV/atom
SG: No. 166
crystal system: trigonal
density: 4312 kg/m3
energy relative to the elements, uncorrected: -797 meV/atom

Unit cell a=3.794 b=3.794 c=14.088 alpha=82.26 beta=82.26 gamma=60.00
Sites, in units of the cell vectors:
Br 0.369 0.369 0.893
Br 0.631 0.631 0.107
Br 0.202 0.202 0.393
Br 0.798 0.798 0.607
Zn 0.000 0.000 0.000
Zn 0.500 0.500 0.500

The following is a DFT calculation (PBE) of crystalline PaSiNi6 at its relaxed geometry.

Output
energy: -6.49 eV/atom
SG: No. 123
crystal system: tetragonal
density: 9285 kg/m3
energy relative to the elements, uncorrected: -293 meV/atom

Unit cell a=3.618 b=3.618 c=8.349 alpha=90.00 beta=90.00 gamma=90.00
Sites, in units of the cell vectors:
Pa 0.000 0.000 0.000
Ni 0.000 0.500 0.333
Ni 0.500 0.000 0.333
Ni 0.500 0.000 0.667
Ni 0.500 0.500 0.861
Ni 0.000 0.500 0.667
Ni 0.500 0.500 0.139
Si 0.000 0.000 0.500

The following is a DFT calculation (PBE) of crystalline Cd2TeAu at its relaxed geometry.

Output
energy: -2.08 eV/atom
SG: No. 47
crystal system: orthorhombic
density: 9574 kg/m3
energy relative to the elements, uncorrected: -20 meV/atom

Unit cell a=3.023 b=3.897 c=8.088 alpha=90.00 beta=90.00 gamma=90.00
Sites, in units of the cell vectors:
Te 0.500 0.500 0.250
Cd 0.000 0.000 0.959
Cd 0.000 0.000 0.541
Au 0.500 0.500 0.750

The following is a DFT calculation (PBE) of crystalline Rb2PI6Cl at its relaxed geometry.

Output
energy: -2.41 eV/atom
SG: No. 139
crystal system: tetragonal
density: 4055 kg/m3
energy relative to the elements, uncorrected: -565 meV/atom

Unit cell a=8.057 b=8.057 c=8.495 alpha=61.69 beta=61.69 gamma=90.00
Sites, in units of the cell vectors:
Cl 0.000 0.000 0.000
P 0.500 0.500 0.000
I 0.263 0.737 0.000
I 0.737 0.263 0.000
I 0.281 0.281 0.439
I 0.719 0.719 0.561
I 0.737 0.737 0.000
I 0.263 0.263 0.000
Rb 0.750 0.250 0.500
Rb 0.250 0.750 0.500

The following is a DFT calculation (PBE) of crystalline ZnCrMo2 at its relaxed geometry.

Output
formation enthalpy at 0 K: 2.68 eV/f.u.
energy: -7.47 eV/atom
SG: No. 122
crystal system: tetragonal
density: 8209 kg/m3

Unit cell a=6.928 b=6.928 c=5.549 alpha=51.37 beta=51.37 gamma=90.00
Sites, in units of the cell vectors:
Mo 0.375 0.414 0.750
Mo 0.164 0.625 0.250
Mo 0.875 0.836 0.750
Mo 0.586 0.125 0.250
Cr 0.250 0.750 0.500
Cr 0.500 0.500 0.000
Zn 0.750 0.250 0.500
Zn 0.000 0.000 0.000

The following is a DFT calculation (PBE) of crystalline ReAg3H at its relaxed geometry.

Output
energy: -2.81 eV/atom
SG: No. 221
offset from the most stable computed form: 1075 meV per atom
crystal system: cubic
density: 6024 kg/m3

Unit cell a=5.203 b=5.203 c=5.203 alpha=90.00 beta=90.00 gamma=90.00
Site moments in Bohr magnetons follow the coordinates.
Sites, in units of the cell vectors:
H 0.500 0.500 0.500  0.33
Ag 0.000 0.000 0.500  0.13
Ag 0.000 0.500 0.000  0.05
Ag 0.500 0.000 0.000  0.03
Re 0.000 0.000 0.000  1.93

Q: Which value of energy does entry 5 give?
A: -8.32 eV/atom